# 1
VASP calculation (GGA-PBEsol) on crystalline Mg2ZnTe at its relaxed geometry.

Results
Formation energy without anion corrections: -0.84 eV per formula unit
Total moment: 0.000 μB/cell

Unit cell a=3.924 b=4.453 c=6.149 alpha=104.61 beta=90.00 gamma=116.14
Fractional coordinates of all 4 atoms:
Mg: 0.746 0.492 0.715
Mg: 0.254 0.508 0.285
Te: 0.500 0.000 0.000
Zn: 0.000 0.000 0.500


# 2
VASP calculation (GGA-PBEsol) on crystalline CsZrSc3 at its relaxed geometry.

Results
Formation energy from the elements: 1.3478 eV per atom
Total moment: 0.715 μB/cell

Unit cell a=5.136 b=5.136 c=5.136 alpha=90.00 beta=90.00 gamma=90.00
Site moments in Bohr magnetons follow the coordinates.
Fractional coordinates of all 5 atoms:
Cs: 0.000 0.000 0.000  -0.01
Sc: 0.000 0.500 0.000  0.03
Sc: 0.000 0.000 0.500  0.03
Sc: 0.500 0.000 0.000  0.03
Zr: 0.500 0.500 0.500  0.31


Q: Among the records above, which one has the highest total moment?
A: CsZrSc3


Q: total moment of number 1 (Mg2ZnTe)?
A: 0.000 μB/cell